1.
Entry from Alexandria via LeMat-Bulk: a geometry-optimized LaTb12Pr5 structure (GGA-PBE).

Cell lengths 11.5974, 10.4659, 6.0249 Å; angles 90.05, 90.10, 56.35 degrees
Closest atoms and distances in Å follow each position.
Fractional coordinates of all 18 atoms:
La: 0.0000 0.0000 0.0000  8 Tb 3.41-3.76
Tb: 0.8197 0.0000 0.4463  6 Tb 3.40-3.74, 1 La 3.41, 3 Pr 3.59-3.72
Tb: 0.1803 0.0000 0.5537  6 Tb 3.40-3.74, 1 La 3.41, 3 Pr 3.59-3.72
Tb: 0.6772 0.0000 0.9461  3 Pr 3.38-3.59, 6 Tb 3.41-3.74, 1 La 3.76
Tb: 0.3228 0.0000 0.0539  3 Pr 3.38-3.59, 6 Tb 3.41-3.74, 1 La 3.76
Tb: 0.3467 0.6666 0.9441  3 Pr 3.39-3.73, 6 Tb 3.39-3.74, 1 La 3.59
Tb: 0.9868 0.6666 0.0559  3 Pr 3.39-3.73, 6 Tb 3.39-3.74, 1 La 3.59
Tb: 0.0133 0.3334 0.9441  3 Pr 3.39-3.73, 6 Tb 3.39-3.74, 1 La 3.59
Tb: 0.6533 0.3334 0.0559  3 Pr 3.39-3.73, 6 Tb 3.39-3.74, 1 La 3.59
Tb: 0.5116 0.3337 0.5555  4 Pr 3.39-3.74, 6 Tb 3.40-3.74
Tb: 0.8453 0.6663 0.5555  4 Pr 3.39-3.74, 6 Tb 3.40-3.74
Tb: 0.1547 0.3337 0.4445  4 Pr 3.39-3.74, 6 Tb 3.40-3.74
Tb: 0.4884 0.6663 0.4445  4 Pr 3.39-3.74, 6 Tb 3.40-3.74
Pr: 0.5000 0.0000 0.5000  8 Tb 3.38-3.72
Pr: 0.1663 0.6674 0.5000  8 Tb 3.39-3.74
Pr: 0.8337 0.3326 0.5000  8 Tb 3.39-3.74
Pr: 0.6680 0.6639 0.0000  8 Tb 3.39-3.73
Pr: 0.3320 0.3361 0.0000  8 Tb 3.39-3.73

Results
energy of formation: 8.93 kJ/mol of atoms
space group: C2/m

---

2.
Entry from Alexandria via LeMat-Bulk: a geometry-optimized La5Tb5Pr structure (GGA-PBE).

Cell lengths 6.2540, 6.2540, 11.8315 Å; angles 90.00, 90.00, 120.00 degrees
Closest atoms and distances in Å follow each position.
Fractional coordinates of all 11 atoms:
La: 0.6667 0.3333 0.1531  4 La 3.62-4.04, 3 Tb 3.85, 3 Pr 4.04
La: 0.6667 0.3333 0.8469  4 La 3.62-4.04, 3 Tb 3.85, 3 Pr 4.04
La: 0.3333 0.6667 0.3199  9 Tb 3.67-3.78, 1 Pr 3.78
La: 0.3333 0.6667 0.6801  9 Tb 3.67-3.78, 1 Pr 3.78
La: 0.0000 0.0000 0.0000  2 Tb 3.14
Tb: 0.3327 0.1664 0.5000  6 Tb 3.12-3.31
Tb: 0.0000 0.0000 0.2656  1 La 3.14, 3 Tb 3.31
Tb: 0.8336 0.6673 0.5000  6 Tb 3.12-3.31
Tb: 0.8336 0.1664 0.5000  6 Tb 3.12-3.31
Tb: 0.0000 0.0000 0.7344  1 La 3.14, 3 Tb 3.31
Pr: 0.3333 0.6667 0.0000  11 La 3.61-4.04

Results
energy of formation: 24.54 kJ/mol of atoms
space group: P-6m2

---

3.
Entry from Alexandria via LeMat-Bulk: a geometry-optimized La2Tb5Pr4 structure (GGA-PBE).

Cell lengths 7.5641, 6.8010, 10.1822 Å; angles 64.06, 68.20, 56.21 degrees
Closest atoms and distances in Å follow each position.
Fractional coordinates of all 11 atoms:
La: 0.1416 0.8463 0.8705  1 La 3.40, 4 Pr 3.49-3.81, 4 Tb 3.50-3.55
La: 0.8584 0.1537 0.1295  1 La 3.40, 4 Pr 3.49-3.81, 4 Tb 3.50-3.55
Tb: 0.2169 0.3591 0.7741  2 Tb 3.27, 4 Pr 3.50-3.61, 2 La 3.50-3.55
Tb: 0.7831 0.6409 0.2259  2 Tb 3.27, 4 Pr 3.50-3.61, 2 La 3.50-3.55
Tb: 0.0000 0.5000 0.5000  4 Tb 3.27, 2 Pr 3.54
Tb: 0.6498 0.3591 0.7741  2 Tb 3.27, 4 Pr 3.50-3.61, 2 La 3.50-3.55
Tb: 0.3502 0.6409 0.2259  2 Tb 3.27, 4 Pr 3.50-3.61, 2 La 3.50-3.55
Pr: 0.3140 0.8755 0.4965  1 Pr 3.49, 1 La 3.49, 5 Tb 3.54-3.67
Pr: 0.6860 0.1245 0.5035  1 Pr 3.49, 1 La 3.49, 5 Tb 3.54-3.67
Pr: 0.6776 0.7693 0.8755  1 Pr 3.49, 6 Tb 3.50-3.58, 3 La 3.59-3.81
Pr: 0.3224 0.2307 0.1245  1 Pr 3.49, 6 Tb 3.50-3.58, 3 La 3.59-3.81

Results
ΔE to the lowest computed polymorph: 19.2 meV/atom
energy of formation: 11.20 kJ/mol of atoms
space group: C2/m

---

4.
Entry from Alexandria via LeMat-Bulk: a geometry-optimized LaTb4Pr7 structure (GGA-PBE).

Cell lengths 6.0936, 9.8963, 8.7201 Å; angles 61.43, 69.55, 72.07 degrees
Closest atoms and distances in Å follow each position.
Fractional coordinates of all 12 atoms:
La: 0.0000 0.0000 0.0000  4 Pr 3.05-3.16
Tb: 0.5712 0.3034 0.5541  2 Pr 3.32-3.58, 2 Tb 3.43-3.66
Tb: 0.4288 0.6966 0.4459  2 Pr 3.32-3.58, 2 Tb 3.43-3.66
Tb: 0.6702 0.6141 0.0455  7 Pr 3.28-3.58, 1 Tb 3.66
Tb: 0.3298 0.3859 0.9545  7 Pr 3.28-3.58, 1 Tb 3.66
Pr: 0.7847 0.8824 0.5481  6 Pr 3.39-3.71, 3 Tb 3.78-3.79
Pr: 0.2153 0.1176 0.4519  6 Pr 3.39-3.71, 3 Tb 3.78-3.79
Pr: 0.0858 0.5497 0.2787  3 Pr 3.34-3.71, 3 Tb 3.51-3.58
Pr: 0.9142 0.4503 0.7213  3 Pr 3.34-3.71, 3 Tb 3.51-3.58
Pr: 0.2104 0.7666 0.8126  1 La 3.16, 2 Tb 3.28-3.32, 2 Pr 3.39-3.49
Pr: 0.5000 0.0000 0.0000  2 La 3.05
Pr: 0.7896 0.2334 0.1874  1 La 3.16, 2 Tb 3.28-3.32, 2 Pr 3.39-3.49

Results
ΔE to the lowest computed polymorph: 184.5 meV/atom
energy of formation: 18.25 kJ/mol of atoms
space group: C2/m

---

5.
Entry from Alexandria via LeMat-Bulk: a geometry-optimized La3Tb2Pr8 structure (GGA-PBE).

Cell lengths 6.2942, 12.0121, 9.0444 Å; angles 131.61, 73.15, 90.00 degrees
Closest atoms and distances in Å follow each position.
Fractional coordinates of all 13 atoms:
La: 0.5000 0.0000 0.0000  2 Pr 3.26
La: 0.0000 0.2384 0.0000  6 Pr 3.52-3.68
La: 0.0000 0.7616 0.0000  6 Pr 3.52-3.68
Tb: 0.6353 0.7089 0.4178  8 Pr 3.36-3.67, 1 La 3.69
Tb: 0.3647 0.2911 0.5822  8 Pr 3.36-3.67, 1 La 3.69
Pr: 0.7900 0.4418 0.8835  2 Tb 3.36-3.39, 5 Pr 3.37-3.56, 2 La 3.61
Pr: 0.2100 0.5582 0.1165  2 Tb 3.36-3.39, 5 Pr 3.37-3.56, 2 La 3.61
Pr: 0.0451 0.8418 0.6836  3 La 3.26-3.52, 1 Tb 3.44, 1 Pr 3.56
Pr: 0.9549 0.1582 0.3164  3 La 3.26-3.52, 1 Tb 3.44, 1 Pr 3.56
Pr: 0.3233 0.9204 0.3508  2 Tb 3.50-3.66, 5 Pr 3.54-3.90, 2 La 3.68-3.77
Pr: 0.3233 0.4304 0.3508  2 Tb 3.50-3.66, 5 Pr 3.54-3.90, 2 La 3.68-3.77
Pr: 0.6767 0.5696 0.6492  2 Tb 3.50-3.66, 5 Pr 3.54-3.90, 2 La 3.68-3.77
Pr: 0.6767 0.0796 0.6492  2 Tb 3.50-3.66, 5 Pr 3.54-3.90, 2 La 3.68-3.77

Results
ΔE to the lowest computed polymorph: 0.0 meV/atom
energy of formation: 13.19 kJ/mol of atoms
space group: C2/m

---

6.
Entry from Alexandria via LeMat-Bulk: a geometry-optimized La4TbPr8 structure (GGA-PBE).

Cell lengths 11.9754, 11.9754, 7.9686 Å; angles 90.00, 138.71, 120.00 degrees
Closest atoms and distances in Å follow each position.
Fractional coordinates of all 13 atoms:
La: 0.0000 0.0000 0.0000  2 Pr 2.86
La: 0.0000 0.5000 0.0000  6 Pr 3.47-3.63
La: 0.5000 0.5000 0.0000  6 Pr 3.47-3.63
La: 0.5000 0.0000 0.0000  6 Pr 3.47-3.63
Tb: 0.0000 0.5000 0.5000  2 Pr 3.08
Pr: 0.5184 0.7592 0.2776  1 La 2.86, 1 Tb 3.08
Pr: 0.4816 0.2408 0.7224  1 La 2.86, 1 Tb 3.08
Pr: 0.3287 0.1644 0.9972  3 La 3.43-3.47, 3 Pr 3.43-3.65
Pr: 0.1672 0.3315 0.0028  3 Pr 3.43-3.65, 3 La 3.43-3.47
Pr: 0.6713 0.8356 0.0028  3 La 3.43-3.47, 3 Pr 3.43-3.65
Pr: 0.1671 0.8356 0.0028  3 La 3.43-3.47, 3 Pr 3.43-3.65
Pr: 0.8329 0.1644 0.9972  3 La 3.43-3.47, 3 Pr 3.43-3.65
Pr: 0.8328 0.6685 0.9972  3 Pr 3.43-3.65, 3 La 3.43-3.47

Results
energy of formation: 34.03 kJ/mol of atoms
space group: R-3m